(1)
KBaSCl2 GGA-PBE optimized geometry; spin magnetization = 1.01 μB/f.u.; ΔE to the lowest computed polymorph = 0 meV per atom; space-group type = No. 123; VASP energy = -18.30 eV/cell; formation energy (no corrections) = -1.49 eV per atom; V = 221.2 Å³ per cell; crystal system = tetragonal
1.0
-5.972 0.545 -0.540
-0.620 -5.924 0.883
-0.457 0.944 6.010
Ba K Cl S
1 1 2 1
Direct
0.000 0.000 0.000 Ba
0.500 0.500 0.500 K
0.500 0.000 0.000 Cl
0.000 0.500 0.000 Cl
0.000 0.000 0.500 S

---

(2)
Tb4HgPd3 GGA-PBE optimized geometry; spin magnetization = 0.00 μB/f.u.; energy of formation from the pure elements = -788 meV/atom; space-group type = No. 25; VASP energy = -40.70 eV/cell; V = 189.4 Å³ per cell; crystal system = orthorhombic
1.0
-2.631 -2.482 -0.958
-0.977 -0.703 4.507
-7.372 7.952 -0.359
Pd Tb Hg
3 4 1
Direct
0.500 0.000 0.912 Pd
0.000 0.500 0.585 Pd
0.000 0.000 0.415 Pd
0.000 0.000 0.146 Tb
0.500 0.000 0.636 Tb
0.000 0.500 0.849 Tb
0.500 0.500 0.374 Tb
0.500 0.500 0.084 Hg

---

(3)
In2OsW GGA-PBE optimized geometry; spin magnetization = 0.00 μB/f.u.; ΔE to the lowest computed polymorph = 576 meV per atom; energy of formation from the pure elements = 782 meV/atom; space-group type = No. 47; VASP energy = -26.53 eV/cell; V = 71.9 Å³ per cell; crystal system = orthorhombic
1.0
3.042 0.000 0.000
0.000 4.212 0.000
0.000 0.000 5.616
Os In W
1 2 1
Direct
0.500 0.500 0.250 Os
0.000 0.000 0.005 In
0.000 0.000 0.495 In
0.500 0.500 0.750 W

---

(4)
RbMg2FeSb GGA-PBE optimized geometry; spin magnetization = 2.38 μB/f.u.; space-group type = No. 123; VASP energy = -13.98 eV/cell; formation energy (no corrections) = 0.55 eV per atom; V = 168.6 Å³ per cell; crystal system = tetragonal
1.0
5.827 0.000 0.000
0.000 4.965 0.000
0.000 0.000 5.827
Mg Rb Sb Fe
2 1 1 1
Direct
0.500 0.000 0.000 Mg
0.000 0.000 0.500 Mg
0.500 0.500 0.500 Rb
0.000 0.000 0.000 Sb
0.000 0.500 0.000 Fe

---

(5)
Tb3Cu4Si4 GGA-PBE optimized geometry; spin magnetization = 0.00 μB/f.u.; space-group type = No. 12; VASP energy = -58.92 eV/cell; formation energy (no corrections) = -0.63 eV per atom; V = 193.4 Å³ per cell; crystal system = monoclinic
1.0
-0.496 3.928 0.893
-1.770 -1.013 3.471
9.401 1.556 7.587
Si Tb Cu
4 3 4
Direct
0.806 0.306 0.388 Si
0.550 0.550 0.900 Si
0.194 0.694 0.612 Si
0.450 0.450 0.100 Si
0.650 0.150 0.701 Tb
0.350 0.850 0.299 Tb
0.000 0.000 0.000 Tb
0.250 0.251 0.500 Cu
0.904 0.404 0.192 Cu
0.750 0.749 0.500 Cu
0.096 0.596 0.808 Cu

---

(6)
Cs2K7Cd2 GGA-PBE optimized geometry; spin magnetization = 0.00 μB/f.u.; energy of formation from the pure elements = 17 meV/atom; space-group type = No. 12; VASP energy = -11.04 eV/cell; V = 714.3 Å³ per cell; crystal system = monoclinic
1.0
-6.139 -2.835 -3.716
6.542 -3.000 -2.781
-0.707 -10.246 7.792
Cs K Cd
2 7 2
Direct
0.724 0.276 0.500 Cs
0.276 0.724 0.500 Cs
0.809 0.809 0.307 K
0.533 0.190 0.159 K
0.191 0.191 0.693 K
0.467 0.810 0.841 K
0.000 0.000 0.000 K
0.190 0.533 0.159 K
0.810 0.467 0.841 K
0.208 0.208 0.392 Cd
0.792 0.792 0.608 Cd